Record 1
Compound: VCoSeN2
Source: Alexandria via LeMat-Bulk
Functional: PBE
Structure: relaxed

Cell: 3.6845 3.6845 5.3817 Å, 90.00 90.00 90.00°
Last column: nearest neighbours and their distance in Å.
Positions (direct):
1 V 0.0000 0.0000 0.0000  4 N 1.84
2 Se 0.0000 0.0000 0.5000  4 Co 2.61, 2 V 2.69
3 Co 0.5000 0.5000 0.5000  4 Se 2.61
4 N 0.0000 0.5000 0.0000  2 V 1.84
5 N 0.5000 0.0000 0.0000  2 V 1.84

Values from the calculation:
energy above the most stable polymorph in this dataset: 0.0 meV/atom
energy relative to the elements, uncorrected: 2.741 eV per formula unit

Record 2
Compound: TbHo12Tm2
Source: Alexandria via LeMat-Bulk
Functional: PBE
Structure: relaxed

Cell: 6.5491 6.5491 24.5916 Å, 96.66 96.66 114.81°
Last column: nearest neighbours and their distance in Å.
Positions (direct):
1 Ho 0.0020 0.0020 0.6702  3 Ho 3.08-3.28
2 Ho 0.3956 0.8956 0.8620  4 Ho 3.15-3.53, 1 Tb 3.31
3 Ho 0.9030 0.9030 0.2017  3 Ho 3.08-3.15
4 Ho 0.6044 0.1044 0.1380  4 Ho 3.15-3.53, 1 Tb 3.31
5 Ho 0.5020 0.5020 0.6702  3 Ho 3.08-3.28
6 Ho 0.0970 0.0970 0.7983  3 Ho 3.08-3.15
7 Ho 0.9980 0.9980 0.3298  3 Ho 3.08-3.28
8 Ho 0.1044 0.6044 0.1380  4 Ho 3.15-3.53, 1 Tb 3.31
9 Ho 0.8329 0.8329 0.4447  10 Ho 3.18-3.53
10 Ho 0.9436 0.9436 0.9258  9 Ho 3.53-3.62, 4 Tb 3.73
11 Ho 0.8176 0.3176 0.4244  8 Ho 3.31-3.57
12 Ho 0.6824 0.1824 0.5756  8 Ho 3.31-3.57
13 Ho 0.3329 0.3329 0.4447  10 Ho 3.18-3.53
14 Ho 0.4030 0.4030 0.2017  3 Ho 3.08-3.15
15 Ho 0.4980 0.4980 0.3298  3 Ho 3.08-3.28
16 Ho 0.4436 0.4436 0.9258  9 Ho 3.53-3.62, 4 Tb 3.73
17 Ho 0.0564 0.0564 0.0742  9 Ho 3.53-3.62, 4 Tb 3.73
18 Ho 0.5970 0.5970 0.7983  3 Ho 3.08-3.15
19 Ho 0.6671 0.6671 0.5553  10 Ho 3.18-3.53
20 Ho 0.1671 0.1671 0.5553  10 Ho 3.18-3.53
21 Ho 0.3176 0.8176 0.4244  8 Ho 3.31-3.57
22 Ho 0.8956 0.3956 0.8620  4 Ho 3.15-3.53, 1 Tb 3.31
23 Ho 0.5564 0.5564 0.0742  9 Ho 3.53-3.62, 4 Tb 3.73
24 Ho 0.1824 0.6824 0.5756  8 Ho 3.31-3.57
25 Tb 0.5000 0.0000 0.0000  2 Ho 3.31, 2 Tb 3.53
26 Tb 0.0000 0.5000 0.0000  2 Ho 3.31, 2 Tb 3.53
27 Tm 0.5452 0.0452 0.7287  2 Tm 3.53, 10 Ho 3.56-3.68
28 Tm 0.0452 0.5452 0.7287  2 Tm 3.53, 10 Ho 3.56-3.68
29 Tm 0.4548 0.9548 0.2713  2 Tm 3.53, 10 Ho 3.56-3.68
30 Tm 0.9548 0.4548 0.2713  2 Tm 3.53, 10 Ho 3.56-3.68

Values from the calculation:
DFT formation energy: 0.120 eV/atom

Record 3
Compound: LiNbSi2Ir
Source: Alexandria via LeMat-Bulk
Functional: PBE
Structure: relaxed

Cell: 4.1299 4.2869 4.1299 Å, 90.00 90.00 90.00°
Last column: nearest neighbours and their distance in Å.
Positions (direct):
1 Si 0.5000 0.0000 0.0000  2 Li 2.06
2 Si 0.0000 0.0000 0.5000  2 Li 2.06
3 Li 0.0000 0.0000 0.0000  4 Si 2.06, 2 Nb 2.14
4 Nb 0.0000 0.5000 0.0000  2 Li 2.14
5 Ir 0.5000 0.5000 0.5000  4 Nb 2.92, 8 Si 2.98

Values from the calculation:
energy relative to the elements, uncorrected: 3.989 eV per formula unit

Record 4
Compound: Dy6Bi3Ru
Source: Alexandria via LeMat-Bulk
Functional: PBE
Structure: relaxed

Cell: 7.6689 9.2346 9.2346 Å, 104.26 90.00 90.00°
Last column: nearest neighbours and their distance in Å.
Positions (direct):
1 Bi 0.9930 0.0709 0.2945  7 Dy 3.10-3.35
2 Bi 0.9930 0.7055 0.9291  7 Dy 3.10-3.35
3 Bi 0.4930 0.2945 0.0709  7 Dy 3.10-3.35
4 Bi 0.3642 0.3970 0.6030  7 Dy 3.16-3.48
5 Bi 0.4930 0.9291 0.7055  7 Dy 3.10-3.35
6 Bi 0.8642 0.6030 0.3970  7 Dy 3.16-3.48
7 Dy 0.6710 0.6027 0.0931  1 Ru 2.71
8 Dy 0.7492 0.9923 0.0077  2 Ru 2.73-2.81
9 Dy 0.1710 0.3973 0.9069  1 Ru 2.71
10 Dy 0.6691 0.2900 0.3719  4 Bi 3.10-3.21
11 Dy 0.2492 0.0077 0.9923  2 Ru 2.73-2.81
12 Dy 0.1710 0.0931 0.6027  1 Ru 2.71
13 Dy 0.7141 0.2453 0.7547  1 Ru 2.65
14 Dy 0.1691 0.7100 0.6281  4 Bi 3.10-3.21
15 Dy 0.6710 0.9069 0.3973  1 Ru 2.71
16 Dy 0.2141 0.7547 0.2453  1 Ru 2.65
17 Dy 0.1691 0.3719 0.2900  4 Bi 3.10-3.21
18 Dy 0.6691 0.6281 0.7100  4 Bi 3.10-3.21
19 Ru 0.4917 0.8631 0.1369  5 Dy 2.65-2.81
20 Ru 0.9917 0.1369 0.8631  5 Dy 2.65-2.81

Values from the calculation:
DFT formation energy: -0.373 eV/atom

Record 5
Compound: HfZnBr3
Source: Alexandria via LeMat-Bulk
Functional: PBE
Structure: relaxed

Cell: 5.3043 5.3043 5.3043 Å, 90.00 90.00 90.00°
Last column: nearest neighbours and their distance in Å.
Positions (direct):
1 Br 0.0000 0.5000 0.0000  2 Hf 2.65
2 Br 0.0000 0.0000 0.5000  2 Hf 2.65
3 Br 0.5000 0.0000 0.0000  2 Hf 2.65
4 Zn 0.5000 0.5000 0.5000  12 Br 3.75
5 Hf 0.0000 0.0000 0.0000  6 Br 2.65

Values from the calculation:
energy above the most stable polymorph in this dataset: 0.0 meV/atom
energy relative to the elements, uncorrected: -2.993 eV per formula unit

Record 6
Compound: Th2TlZnFe
Source: Alexandria via LeMat-Bulk
Functional: PBE
Structure: relaxed

Cell: 4.0065 8.7780 8.9557 Å, 129.36 90.00 90.00°
Last column: nearest neighbours and their distance in Å.
Positions (direct):
1 Th 0.7500 0.8423 0.0319  2 Fe 2.70
2 Th 0.2500 0.1577 0.9681  2 Fe 2.70
3 Th 0.2500 0.2979 0.4396  3 Fe 2.72-2.95
4 Th 0.7500 0.7021 0.5604  3 Fe 2.72-2.95
5 Tl 0.7500 0.1762 0.6651  3 Zn 2.96-3.13, 2 Tl 3.27
6 Tl 0.2500 0.8238 0.3349  3 Zn 2.96-3.13, 2 Tl 3.27
7 Zn 0.2500 0.4954 0.8854  1 Fe 2.70, 2 Zn 2.83, 2 Tl 2.96
8 Zn 0.7500 0.5046 0.1146  1 Fe 2.70, 2 Zn 2.83, 2 Tl 2.96
9 Fe 0.2500 0.7207 0.7770  5 Th 2.70-2.95, 1 Zn 2.70
10 Fe 0.7500 0.2793 0.2230  5 Th 2.70-2.95, 1 Zn 2.70

Values from the calculation:
DFT formation energy: -0.111 eV/atom

Record 7
Compound: Ba2AsSe
Source: Alexandria via LeMat-Bulk
Functional: PBE
Structure: relaxed

Cell: 5.7076 5.7076 5.7076 Å, 60.00 60.00 60.00°
Last column: nearest neighbours and their distance in Å.
Positions (direct):
1 Se 0.5000 0.5000 0.5000  8 Ba 3.50
2 As 0.0000 0.0000 0.0000  8 Ba 3.50
3 Ba 0.2500 0.2500 0.2500  4 Se 3.50, 4 As 3.50
4 Ba 0.7500 0.7500 0.7500  4 Se 3.50, 4 As 3.50

Values from the calculation:
energy above the most stable polymorph in this dataset: 157.4 meV/atom
energy relative to the elements, uncorrected: -4.894 eV per formula unit